Entry 1:
Computed, not measured: a relaxed YAlPO2 crystal at the PBE-GGA level of DFT.

Lattice parameters (Å, degrees): 3.823 3.823 4.848 90.00 90.00 90.00
Site moments in Bohr magnetons follow the coordinates.
Fractional positions:
Y: 0.500 0.500 0.500  0.00
P: 0.000 0.000 0.500  0.06
Al: 0.000 0.000 0.000  0.00
O: 0.000 0.500 0.000  0.14
O: 0.500 0.000 0.000  0.14

Computed properties:
- Energy relative to the lowest polymorph listed for this composition: 0.0 meV/atom
- Raw formation energy: -1703 meV per atom

Entry 2:
Computed, not measured: a relaxed YAlPO2 crystal at the PBE-GGA level of DFT.

Lattice parameters (Å, degrees): 4.165 4.165 5.854 90.00 90.00 90.00
Fractional positions:
Y: 0.000 0.000 0.000
P: 0.000 0.000 0.500
Al: 0.500 0.500 0.500
O: 0.000 0.500 0.000
O: 0.500 0.000 0.000

Computed properties:
- Energy relative to the lowest polymorph listed for this composition: 891.0 meV/atom
- Raw formation energy: -812 meV per atom